DFT (PBE-GGA) results for an optimized crystal structure of KNi2AsP.

**Calculated total energy**: -4.9487 eV per atom
**Symmetry**: P2_1/m (11)
**Calculated formation energy**: -0.40 eV/atom
**Density of states at the Fermi level**: 0.501 states/eV/atom

a = 7.001 Å, b = 3.996 Å, c = 7.995 Å
α = 90.00°, β = 106.67°, γ = 90.00°
Sites, in units of the cell vectors:
K 0.058 0.250 0.251
K 0.942 0.750 0.749
Ni 0.498 0.750 0.368
Ni 0.500 0.250 0.118
Ni 0.500 0.750 0.882
Ni 0.502 0.250 0.632
As 0.324 0.750 0.580
As 0.676 0.250 0.420
P 0.348 0.750 0.088
P 0.652 0.250 0.912